#w
This record from Alexandria via LeMat-Bulk describes crystalline HfSeBr2Cl at its relaxed geometry. The functional is PBE-GGA.

Lattice parameters (Å, degrees): 4.9234 4.9234 5.7589 90.00 90.00 90.00
Space group P4/mmm (No. 123)
Asymmetric unit:
Hf 0.0000 0.0000 0.0000 (multiplicity 1)
Se 0.5000 0.5000 0.0000 (multiplicity 1)
Br 0.0000 0.5000 0.5000 (multiplicity 2)
Cl 0.5000 0.5000 0.5000 (multiplicity 1)

Results
Total magnetization: 1.25 μB per cell



#x
This record from Alexandria via LeMat-Bulk describes crystalline HfSeBr2Cl at its relaxed geometry. The functional is PBE-GGA.

Lattice parameters (Å, degrees): 5.2381 5.2381 5.2166 90.00 90.00 90.00
Space group P4/mmm (No. 123)
Asymmetric unit:
Hf 0.0000 0.0000 0.0000 (multiplicity 1)
Se 0.0000 0.0000 0.5000 (multiplicity 1)
Br 0.0000 0.5000 0.0000 (multiplicity 2)
Cl 0.5000 0.5000 0.5000 (multiplicity 1)

Results
Total magnetization: 0.95 μB per cell



It is #x that is most stable; the runner-up trails by 1.499 eV/atom.



#w
This record from Alexandria via LeMat-Bulk describes crystalline HgBr2Cl at its relaxed geometry. The functional is PBE-GGA.

Lattice parameters (Å, degrees): 4.1913 4.1913 25.7838 90.00 90.00 120.00
Space group R-3m (No. 166, hexagonal axes)
Asymmetric unit:
Hg 0.0000 0.0000 0.0000 (multiplicity 3)
Br 0.0000 0.0000 0.3980 (multiplicity 6)
Cl 0.0000 0.0000 0.5000 (multiplicity 3)

Results
Total magnetization: 0.00 μB per cell



#x
This record from Alexandria via LeMat-Bulk describes crystalline HgBr2Cl at its relaxed geometry. The functional is PBE-GGA.

Lattice parameters (Å, degrees): 5.8959 3.8605 6.1967 90.00 97.36 90.00
Space group Pm (No. 6)
Asymmetric unit:
Hg 0.0000 0.0000 0.0000 (multiplicity 1)
Br 0.2809 0.5000 0.8536 (multiplicity 1)
Br 0.6392 0.0000 0.6692 (multiplicity 1)
Cl 0.8939 0.5000 0.2510 (multiplicity 1)

Results
Total magnetization: 0.81 μB per cell



#y
This record from Alexandria via LeMat-Bulk describes crystalline HgBr2Cl at its relaxed geometry. The functional is PBE-GGA.

Lattice parameters (Å, degrees): 4.0515 4.0515 7.4671 90.00 90.00 90.00
Space group P4/mmm (No. 123)
Asymmetric unit:
Hg 0.0000 0.0000 0.0000 (multiplicity 1)
Br 0.0000 0.5000 0.5000 (multiplicity 2)
Cl 0.5000 0.5000 0.0000 (multiplicity 1)

Results
Total magnetization: 0.00 μB per cell



#z
This record from Alexandria via LeMat-Bulk describes crystalline HgBr2Cl at its relaxed geometry. The functional is PBE-GGA.

Lattice parameters (Å, degrees): 4.1466 11.5813 6.8849 90.00 94.40 90.00
Space group P2_1/m (No. 11)
Asymmetric unit:
Hg 0.2272 0.2500 0.2762 (multiplicity 2)
Br 0.4900 0.1192 0.0079 (multiplicity 4)
Cl 0.1525 0.7500 0.4820 (multiplicity 2)

Results
Total magnetization: 0.00 μB per cell



It is #z that is most stable; the runner-up trails by 0.123 eV/atom.



#w
This record from Alexandria via LeMat-Bulk describes crystalline Hg3BrCl at its relaxed geometry. The functional is PBE-GGA.

Lattice parameters (Å, degrees): 5.6312 5.6312 5.6312 90.00 90.00 90.00
Space group Pm-3m (No. 221)
Asymmetric unit:
Hg 0.0000 0.0000 0.5000 (multiplicity 3)
Br 0.5000 0.5000 0.5000 (multiplicity 1)
Cl 0.0000 0.0000 0.0000 (multiplicity 1)

Results
Total magnetization: 0.00 μB per cell



#x
This record from Alexandria via LeMat-Bulk describes crystalline Hg3BrCl at its relaxed geometry. The functional is PBE-GGA.

Lattice parameters (Å, degrees): 5.7816 5.7816 5.7816 90.00 90.00 90.00
Space group Pm-3m (No. 221)
Asymmetric unit:
Hg 0.0000 0.0000 0.5000 (multiplicity 3)
Br 0.0000 0.0000 0.0000 (multiplicity 1)
Cl 0.5000 0.5000 0.5000 (multiplicity 1)

Results
Total magnetization: 0.00 μB per cell



#y
This record from Alexandria via LeMat-Bulk describes crystalline Hg3BrCl at its relaxed geometry. The functional is PBE-GGA.

Lattice parameters (Å, degrees): 5.7942 5.7942 34.7674 90.00 90.00 120.00
Space group R3c (No. 161, hexagonal axes)
Asymmetric unit:
Hg 0.1151 0.3353 0.0000 (multiplicity 18)
Br 0.0000 0.0000 0.4229 (multiplicity 6)
Cl 0.0000 0.0000 0.1987 (multiplicity 6)

Results
Total magnetization: 0.00 μB per cell



It is #y that is most stable; the runner-up trails by 0.253 eV/atom.



#w
This record from Alexandria via LeMat-Bulk describes crystalline Hg3BrCl5 at its relaxed geometry. The functional is PBE-GGA.

Lattice parameters (Å, degrees): 13.8860 9.8836 10.2035 90.00 123.56 90.00
Space group C2/m (No. 12)
Asymmetric unit:
Hg 0.0000 0.0000 0.0000 (multiplicity 2)
Hg 0.0000 0.0000 0.5000 (multiplicity 2)
Hg 0.1616 0.5000 0.1679 (multiplicity 4)
Hg 0.1676 0.5000 0.6608 (multiplicity 4)
Br 0.0985 0.0000 0.7913 (multiplicity 4)
Cl 0.0000 0.3254 0.5000 (multiplicity 4)
Cl 0.0725 0.5000 0.8909 (multiplicity 4)
Cl 0.1678 0.1756 0.1701 (multiplicity 8)
Cl 0.2418 0.0000 0.5542 (multiplicity 4)

Results
Total magnetization: 0.00 μB per cell



#x
This record from Alexandria via LeMat-Bulk describes crystalline Hg3BrCl5 at its relaxed geometry. The functional is PBE-GGA.

Lattice parameters (Å, degrees): 7.1201 9.9492 10.4628 62.20 73.62 72.65
Space group P-1 (No. 2)
Asymmetric unit:
Hg 0.0000 0.0000 0.0000 (multiplicity 1)
Hg 0.1012 0.7609 0.6101 (multiplicity 2)
Hg 0.3397 0.3053 0.6848 (multiplicity 2)
Hg 0.5000 0.5000 0.0000 (multiplicity 1)
Br 0.3601 0.7689 0.8471 (multiplicity 2)
Cl 0.0323 0.4513 0.2108 (multiplicity 2)
Cl 0.1212 0.1917 0.6545 (multiplicity 2)
Cl 0.2355 0.1094 0.0159 (multiplicity 2)
Cl 0.2704 0.9487 0.4209 (multiplicity 2)
Cl 0.4382 0.5664 0.3102 (multiplicity 2)

Results
Total magnetization: 0.00 μB per cell



It is #x that is most stable; the runner-up trails by 0.031 eV/atom.



#w
This record from Alexandria via LeMat-Bulk describes crystalline HgBrCl4 at its relaxed geometry. The functional is PBE-GGA.

Lattice parameters (Å, degrees): 8.3267 8.3267 8.3267 90.00 90.00 90.00
Space group F-43m (No. 216)
Asymmetric unit:
Hg 0.0000 0.0000 0.0000 (multiplicity 4)
Br 0.2500 0.2500 0.7500 (multiplicity 4)
Cl 0.1249 0.1249 0.3751 (multiplicity 16)

Results
Total magnetization: 0.28 μB per cell



#x
This record from Alexandria via LeMat-Bulk describes crystalline HgBrCl4 at its relaxed geometry. The functional is PBE-GGA.

Lattice parameters (Å, degrees): 9.0181 19.4134 6.8196 90.00 129.78 90.00
Space group C2/c (No. 15)
Asymmetric unit:
Hg 0.0000 0.0515 0.2500 (multiplicity 4)
Br 0.0000 0.3070 0.7500 (multiplicity 4)
Cl 0.2232 0.1936 0.2064 (multiplicity 8)
Cl 0.2246 0.0574 0.6943 (multiplicity 8)

Results
Total magnetization: 3.94 μB per cell



It is #x that is most stable; the runner-up trails by 0.845 eV/atom.



#w
This record from Alexandria via LeMat-Bulk describes crystalline Hg2BrCl2 at its relaxed geometry. The functional is PBE-GGA.

Lattice parameters (Å, degrees): 14.5424 5.5131 8.6046 90.00 116.14 90.00
Space group C2/m (No. 12)
Asymmetric unit:
Hg 0.0100 0.0000 0.2325 (multiplicity 4)
Hg 0.1663 0.5000 0.6062 (multiplicity 4)
Br 0.1595 0.0000 0.0805 (multiplicity 4)
Cl 0.0022 0.5000 0.2711 (multiplicity 4)
Cl 0.1581 0.0000 0.5695 (multiplicity 4)

Results
Total magnetization: 0.00 μB per cell



#x
This record from Alexandria via LeMat-Bulk describes crystalline Hg2BrCl2 at its relaxed geometry. The functional is PBE-GGA.

Lattice parameters (Å, degrees): 7.8930 7.8930 4.0507 90.00 90.00 90.00
Space group P4/mbm (No. 127)
Asymmetric unit:
Hg 0.1739 0.3261 0.0000 (multiplicity 4)
Br 0.0000 0.0000 0.0000 (multiplicity 2)
Cl 0.1450 0.6450 0.5000 (multiplicity 4)

Results
Total magnetization: 0.00 μB per cell



It is #w that is most stable; the runner-up trails by 0.147 eV/atom.